First-principles (PBEsol) data for an optimized crystal structure of Na3ScH, as listed in Alexandria via LeMat-Bulk.

Output
- calculated volume (Å³/cell) = 121
- ρ (g/cm3) = 1.58
- electronic total energy (eV/atom) = -2.373
- DOS at the Fermi energy (states/eV/cell) = 3.86
- space-group type = Pm-3m (221)

Structure (CIF):
```
data_Na3ScH
_symmetry_space_group_name_H-M 'P 1'
_symmetry_Int_Tables_number 1
_cell_length_a 4.9403
_cell_length_b 4.9403
_cell_length_c 4.9403
_cell_angle_alpha 90.00
_cell_angle_beta 90.00
_cell_angle_gamma 90.00
loop_
_symmetry_equiv_pos_as_xyz
'x,y,z'
loop_
_atom_site_label
_atom_site_type_symbol
_atom_site_fract_x
_atom_site_fract_y
_atom_site_fract_z
Na1 Na 0.0000 0.0000 0.5000
Na2 Na 0.0000 0.5000 0.0000
Na3 Na 0.5000 0.0000 0.0000
Sc1 Sc 0.5000 0.5000 0.5000
H1 H 0.0000 0.0000 0.0000
```